No. 1
This record from the Alexandria database describes a PBEsol-optimized structure of SrAl2F. The functional is SCAN.

Cell and atoms, written as CIF:
```
data_SrAl2F
_cell_length_a 7.152
_cell_length_b 7.152
_cell_length_c 7.152
_cell_angle_alpha 90.00
_cell_angle_beta 90.00
_cell_angle_gamma 90.00
_symmetry_space_group_name_H-M 'F m -3 m'
_symmetry_Int_Tables_number 225
_symmetry_space_group_name_Hall '-F 4 2 3'
loop_
_atom_site_label
_atom_site_type_symbol
_atom_site_fract_x
_atom_site_fract_y
_atom_site_fract_z
Sr1 Sr 0.000 0.000 0.000
Al1 Al 0.250 0.250 0.250
F1 F 0.000 0.000 0.500
```

Total DFT energy (no corrections)   -10.349 eV/atom
Formation energy (no corrections)   -0.02 eV per atom
Fermi-level density of states   15.79 states/eV/cell

=====

No. 2
This record from the Alexandria database describes a PBEsol-optimized structure of PdPtN2F. The functional is SCAN.

Cell and atoms, written as CIF:
```
data_PdPtN2F
_cell_length_a 3.918
_cell_length_b 3.918
_cell_length_c 3.854
_cell_angle_alpha 90.00
_cell_angle_beta 90.00
_cell_angle_gamma 90.00
_symmetry_space_group_name_H-M 'P 4/m m m'
_symmetry_Int_Tables_number 123
_symmetry_space_group_name_Hall '-P 4 2'
loop_
_atom_site_label
_atom_site_type_symbol
_atom_site_fract_x
_atom_site_fract_y
_atom_site_fract_z
Pd1 Pd 0.000 0.000 0.000
Pt1 Pt 0.500 0.500 0.500
N1 N 0.000 0.500 0.000
F1 F 0.000 0.000 0.500
```

Total DFT energy (no corrections)   -23.595 eV/atom
Formation energy (no corrections)   1.42 eV per atom
Fermi-level density of states   4.02 states/eV/cell